Below is a geometry-optimized SmTc3C2 structure, with properties calculated at the GGA-PBE level.

Unit cell a=3.7332 b=6.6242 c=8.0751 alpha=115.39 beta=90.00 gamma=106.37
Closest atoms and distances in Å follow each position.
Positions (direct):
Sm (0.8660, 0.7320, 0.9830)  3 C 2.46-2.68
Sm (0.1340, 0.2680, 0.0170)  3 C 2.46-2.68
Tc (0.2866, 0.5732, 0.6237)  2 C 1.95-2.14
Tc (0.9421, 0.8842, 0.6119)  2 C 2.07
Tc (0.6145, 0.2290, 0.6709)  3 C 2.07-2.18
Tc (0.3855, 0.7710, 0.3291)  3 C 2.07-2.18
Tc (0.0579, 0.1158, 0.3881)  2 C 2.07
Tc (0.7134, 0.4268, 0.3763)  2 C 1.95-2.14
C (0.4745, 0.9490, 0.7354)  4 Tc 2.07-2.14
C (0.5255, 0.0510, 0.2646)  4 Tc 2.07-2.14
C (0.7913, 0.5826, 0.2165)  1 Tc 1.95
C (0.2087, 0.4174, 0.7835)  1 Tc 1.95

## Properties
Calculated formation energy, eV per atom: -0.01
DOS at the Fermi energy, states/eV/f.u.: 2.3

***

Below is a geometry-optimized Sm2Tc3C4 structure, with properties calculated at the GGA-PBE level.

Unit cell a=5.5855 b=5.5801 c=9.2530 alpha=90.00 beta=107.57 gamma=90.00
Closest atoms and distances in Å follow each position.
Positions (direct):
Sm (0.0962, 0.4999, 0.1924)  4 C 2.60
Sm (0.9038, 0.5001, 0.8076)  4 C 2.60
Sm (0.4038, 0.9999, 0.8076)  4 C 2.60
Sm (0.5962, 0.0001, 0.1924)  4 C 2.60
Tc (0.0000, 0.0000, 0.0000)  4 C 1.97
Tc (0.5000, 0.5000, 0.0000)  4 C 1.97
Tc (0.5000, 0.7500, 0.5000)  4 C 2.08
Tc (0.0000, 0.2500, 0.5000)  4 C 2.08
Tc (0.5000, 0.2500, 0.5000)  4 C 2.08
Tc (0.0000, 0.7500, 0.5000)  4 C 2.08
C (0.7501, 0.7500, 0.0002)  2 Tc 1.97
C (0.7499, 0.2500, 0.9998)  2 Tc 1.97
C (0.2499, 0.2500, 0.9998)  2 Tc 1.97
C (0.2501, 0.7500, 0.0002)  2 Tc 1.97
C (0.2124, 0.0000, 0.4249)  4 Tc 2.08
C (0.7876, 0.0000, 0.5751)  4 Tc 2.08
C (0.2876, 0.5000, 0.5751)  4 Tc 2.08
C (0.7124, 0.5000, 0.4249)  4 Tc 2.08

## Properties
Calculated formation energy, eV per atom: 0.08
DOS at the Fermi energy, states/eV/f.u.: 4.7

***

Below is a geometry-optimized Sm2TcC2 structure, with properties calculated at the GGA-PBE level.

Unit cell a=5.2605 b=6.6567 c=10.1106 alpha=90.00 beta=90.00 gamma=90.00
Closest atoms and distances in Å follow each position.
Positions (direct):
Sm (0.7500, 0.6831, 0.5536)  5 C 2.55-2.65
Sm (0.2500, 0.8169, 0.0536)  5 C 2.55-2.65
Sm (0.2500, 0.3169, 0.4464)  5 C 2.55-2.65
Sm (0.7500, 0.1831, 0.9464)  5 C 2.55-2.65
Sm (0.7500, 0.0288, 0.2860)  4 C 2.59-2.86
Sm (0.2500, 0.4712, 0.7860)  4 C 2.59-2.86
Sm (0.2500, 0.9712, 0.7140)  4 C 2.59-2.86
Sm (0.7500, 0.5288, 0.2140)  4 C 2.59-2.86
Tc (0.7500, 0.2244, 0.6395)  3 C 1.91-2.05
Tc (0.2500, 0.2756, 0.1395)  3 C 1.91-2.05
Tc (0.2500, 0.7756, 0.3605)  3 C 1.91-2.05
Tc (0.7500, 0.7244, 0.8605)  3 C 1.91-2.05
C (0.7500, 0.4589, 0.7580)  2 Tc 1.97-2.05
C (0.2500, 0.0411, 0.2580)  2 Tc 1.97-2.05
C (0.2500, 0.5411, 0.2420)  2 Tc 1.97-2.05
C (0.7500, 0.9589, 0.7420)  2 Tc 1.97-2.05
C (0.7500, 0.8141, 0.0405)  1 Tc 1.91
C (0.2500, 0.6859, 0.5405)  1 Tc 1.91
C (0.2500, 0.1859, 0.9595)  1 Tc 1.91
C (0.7500, 0.3141, 0.4595)  1 Tc 1.91

## Properties
Calculated formation energy, eV per atom: -0.30
DOS at the Fermi energy, states/eV/f.u.: 2.3
Distance to the lowest polymorph of the same formula, eV/atom: 0.000

***

Below is a geometry-optimized SmTc3C3 structure, with properties calculated at the GGA-PBE level.

Unit cell a=5.9768 b=5.9768 c=7.4346 alpha=66.30 beta=66.30 gamma=60.00
Closest atoms and distances in Å follow each position.
Positions (direct):
Sm (0.3297, 0.3297, 0.0110)  6 C 2.65-2.93
Sm (0.6703, 0.6703, 0.9890)  6 C 2.65-2.93
Tc (0.4167, 0.7998, 0.6384)  4 C 2.03-2.20
Tc (0.7998, 0.1452, 0.6384)  4 C 2.03-2.20
Tc (0.1452, 0.4167, 0.6384)  4 C 2.03-2.20
Tc (0.8548, 0.5833, 0.3616)  4 C 2.03-2.20
Tc (0.2002, 0.8548, 0.3616)  4 C 2.03-2.20
Tc (0.5833, 0.2002, 0.3616)  4 C 2.03-2.20
C (0.2393, 0.5305, 0.3045)  4 Tc 2.03-2.20
C (0.9257, 0.2393, 0.3045)  4 Tc 2.03-2.20
C (0.5305, 0.9257, 0.3045)  4 Tc 2.03-2.20
C (0.4695, 0.0743, 0.6955)  4 Tc 2.03-2.20
C (0.0743, 0.7607, 0.6955)  4 Tc 2.03-2.20
C (0.7607, 0.4695, 0.6955)  4 Tc 2.03-2.20

## Properties
Calculated formation energy, eV per atom: 0.11
DOS at the Fermi energy, states/eV/f.u.: 3.2

***

Below is a geometry-optimized Sm2TcC2 structure, with properties calculated at the GGA-PBE level.

Unit cell a=6.5329 b=6.3273 c=8.0763 alpha=90.00 beta=99.35 gamma=90.00
Closest atoms and distances in Å follow each position.
Positions (direct):
Sm (0.5293, 0.2655, 0.0645)  3 C 2.51-2.79
Sm (0.0293, 0.2345, 0.0645)  3 C 2.51-2.79
Sm (0.9707, 0.7655, 0.9355)  3 C 2.51-2.79
Sm (0.4707, 0.7345, 0.9355)  3 C 2.51-2.79
Sm (0.8872, 0.6055, 0.3166)  4 C 2.51-2.77
Sm (0.3872, 0.8945, 0.3166)  4 C 2.51-2.77
Sm (0.6128, 0.1055, 0.6834)  4 C 2.51-2.77
Sm (0.1128, 0.3945, 0.6834)  4 C 2.51-2.77
Tc (0.3486, 0.4185, 0.3818)  3 C 2.02-2.06
Tc (0.6514, 0.5815, 0.6182)  3 C 2.02-2.06
Tc (0.8486, 0.0815, 0.3818)  3 C 2.02-2.06
Tc (0.1514, 0.9185, 0.6182)  3 C 2.02-2.06
C (0.7304, 0.9365, 0.1580)  1 Tc 2.06
C (0.2304, 0.5635, 0.1580)  1 Tc 2.06
C (0.7696, 0.4365, 0.8420)  1 Tc 2.06
C (0.2696, 0.0635, 0.8420)  1 Tc 2.06
C (0.6462, 0.3169, 0.4258)  2 Tc 2.02-2.06
C (0.1462, 0.1831, 0.4258)  2 Tc 2.02-2.06
C (0.8538, 0.8169, 0.5742)  2 Tc 2.02-2.06
C (0.3538, 0.6831, 0.5742)  2 Tc 2.02-2.06

## Properties
Calculated formation energy, eV per atom: -0.12
DOS at the Fermi energy, states/eV/f.u.: 2.7
Distance to the lowest polymorph of the same formula, eV/atom: 0.177

***

Below is a geometry-optimized SmTcC2 structure, with properties calculated at the GGA-PBE level.

Unit cell a=3.2699 b=3.2699 c=5.8886 alpha=73.88 beta=73.88 gamma=60.00
Closest atoms and distances in Å follow each position.
Positions (direct):
C (0.2655, 0.2655, 0.2034)  3 Tc 2.20
C (0.7345, 0.7345, 0.7966)  3 Tc 2.20
Tc (0.0000, 0.0000, 0.0000)  6 C 2.20
Sm (0.5000, 0.5000, 0.5000)  6 C 2.51

## Properties
Calculated formation energy, eV per atom: 0.22
DOS at the Fermi energy, states/eV/f.u.: 1.6
Distance to the lowest polymorph of the same formula, eV/atom: 0.301

***

Below is a geometry-optimized Sm2Tc5C4 structure, with properties calculated at the GGA-PBE level.

Unit cell a=5.4343 b=5.8050 c=6.0787 alpha=77.92 beta=63.45 gamma=62.09
Closest atoms and distances in Å follow each position.
Positions (direct):
Sm (0.8482, 0.0000, 0.3035)  2 C 2.82, 4 Tc 3.09
Sm (0.1518, 0.0000, 0.6965)  2 C 2.82, 4 Tc 3.09
Tc (0.5000, 0.0000, 0.0000)  4 C 2.17
Tc (0.0000, 0.5000, 0.0000)  4 C 2.22
Tc (0.5000, 0.5000, 0.0000)  4 C 2.22
Tc (0.2500, 0.5000, 0.5000)  4 C 2.08
Tc (0.7500, 0.5000, 0.5000)  4 C 2.08
C (0.4793, 0.3114, 0.7299)  5 Tc 2.08-2.22
C (0.5207, 0.6886, 0.2701)  5 Tc 2.08-2.22
C (0.2092, 0.3114, 0.2701)  5 Tc 2.08-2.22
C (0.7907, 0.6886, 0.7299)  5 Tc 2.08-2.22

## Properties
Calculated formation energy, eV per atom: 0.00
DOS at the Fermi energy, states/eV/f.u.: 9.0

***

Below is a geometry-optimized Sm3Tc2C3 structure, with properties calculated at the GGA-PBE level.

Unit cell a=3.4533 b=5.9692 c=12.9848 alpha=90.00 beta=90.00 gamma=106.81
Closest atoms and distances in Å follow each position.
Positions (direct):
Sm (0.9485, 0.8969, 0.3852)  6 C 2.76-2.86, 2 Tc 3.06
Sm (0.0515, 0.1031, 0.8852)  6 C 2.76-2.86, 2 Tc 3.06
Sm (0.9485, 0.8969, 0.1148)  6 C 2.76-2.86, 2 Tc 3.06
Sm (0.0515, 0.1031, 0.6148)  6 C 2.76-2.86, 2 Tc 3.06
Sm (0.6731, 0.3462, 0.2500)  4 C 2.57-2.69
Sm (0.3269, 0.6538, 0.7500)  4 C 2.57-2.69
Tc (0.7687, 0.5374, 0.9241)  3 C 2.11-2.23
Tc (0.2313, 0.4626, 0.4241)  3 C 2.11-2.23
Tc (0.7687, 0.5374, 0.5759)  3 C 2.11-2.23
Tc (0.2313, 0.4626, 0.0759)  3 C 2.11-2.23
C (0.6316, 0.2631, 0.4540)  3 Tc 2.11-2.23
C (0.3684, 0.7369, 0.9540)  3 Tc 2.11-2.23
C (0.6316, 0.2631, 0.0460)  3 Tc 2.11-2.23
C (0.3684, 0.7369, 0.5460)  3 Tc 2.11-2.23
C (0.3401, 0.6803, 0.2500)  6 Sm 2.57-2.76, 2 Tc 2.58
C (0.6599, 0.3197, 0.7500)  6 Sm 2.57-2.76, 2 Tc 2.58

## Properties
Calculated formation energy, eV per atom: 0.07
DOS at the Fermi energy, states/eV/f.u.: 4.4

***

Below is a geometry-optimized SmTh2TcC4 structure, with properties calculated at the GGA-PBE level.

Unit cell a=3.6468 b=6.3840 c=12.6846 alpha=90.00 beta=90.00 gamma=106.60
Closest atoms and distances in Å follow each position.
Positions (direct):
Sm (0.1005, 0.2010, 0.7500)  6 C 2.85-2.92
Sm (0.8995, 0.7990, 0.2500)  6 C 2.85-2.92
Th (0.3677, 0.7354, 0.5412)  6 C 2.49-2.72
Th (0.6323, 0.2646, 0.0412)  6 C 2.49-2.72
Th (0.6323, 0.2646, 0.4588)  6 C 2.49-2.72
Th (0.3677, 0.7354, 0.9588)  6 C 2.49-2.72
Tc (0.8332, 0.6664, 0.7500)  4 C 1.91-2.07
Tc (0.1668, 0.3336, 0.2500)  4 C 1.91-2.07
C (0.2666, 0.5333, 0.1342)  1 Tc 1.91
C (0.7334, 0.4667, 0.6342)  1 Tc 1.91
C (0.7334, 0.4667, 0.8658)  1 Tc 1.91
C (0.2666, 0.5333, 0.3658)  1 Tc 1.91
C (0.0000, 0.0000, 0.5000)  4 Th 2.49
C (0.0000, 0.0000, 0.0000)  4 Th 2.49
C (0.4141, 0.8282, 0.7500)  2 Tc 2.07
C (0.5859, 0.1718, 0.2500)  2 Tc 2.07

## Properties
Calculated formation energy, eV per atom: -0.02
DOS at the Fermi energy, states/eV/f.u.: 5.1

***

Below is a geometry-optimized SmU2TcC4 structure, with properties calculated at the GGA-PBE level.

Unit cell a=3.5888 b=6.1212 c=11.4531 alpha=90.00 beta=90.00 gamma=107.05
Closest atoms and distances in Å follow each position.
Positions (direct):
Sm (0.1171, 0.2341, 0.7500)  6 C 2.70-2.76
Sm (0.8829, 0.7659, 0.2500)  6 C 2.70-2.76
U (0.3712, 0.7424, 0.5464)  6 C 2.29-2.49
U (0.6288, 0.2576, 0.0464)  6 C 2.29-2.49
U (0.6288, 0.2576, 0.4536)  6 C 2.29-2.49
U (0.3712, 0.7424, 0.9536)  6 C 2.29-2.49
Tc (0.8551, 0.7101, 0.7500)  4 C 2.02-2.08
Tc (0.1449, 0.2899, 0.2500)  4 C 2.02-2.08
C (0.2594, 0.5187, 0.1174)  1 Tc 2.02
C (0.7406, 0.4813, 0.6174)  1 Tc 2.02
C (0.7406, 0.4813, 0.8826)  1 Tc 2.02
C (0.2594, 0.5187, 0.3826)  1 Tc 2.02
C (0.0000, 0.0000, 0.5000)  4 U 2.40
C (0.0000, 0.0000, 0.0000)  4 U 2.40
C (0.4452, 0.8904, 0.7500)  2 Tc 2.08
C (0.5548, 0.1096, 0.2500)  2 Tc 2.08

## Properties
Calculated formation energy, eV per atom: -0.05
DOS at the Fermi energy, states/eV/f.u.: 7.7

***

Below is a geometry-optimized Sm4Te2C structure, with properties calculated at the GGA-PBE level.

Unit cell a=3.9669 b=7.0961 c=8.2157 alpha=115.53 beta=103.97 gamma=90.00
Closest atoms and distances in Å follow each position.
Positions (direct):
Sm (0.8966, 0.1888, 0.7933)  1 C 2.54
Sm (0.1034, 0.8112, 0.2067)  1 C 2.54
Sm (0.5979, 0.2428, 0.1958)  2 C 2.64
Sm (0.4021, 0.7572, 0.8042)  2 C 2.64
Te (0.7387, 0.7309, 0.4775)  6 Sm 3.10-3.21
Te (0.2613, 0.2691, 0.5225)  6 Sm 3.10-3.21
C (0.0000, 0.0000, 0.0000)  6 Sm 2.54-2.64

## Properties
DOS at the Fermi energy, states/eV/f.u.: 5.2
Formation energy from raw total energies, kJ per mole of atoms: -74
Distance to the lowest polymorph of the same formula, eV/atom: 0.107

***

Below is a geometry-optimized Sm5Te5C structure, with properties calculated at the GGA-PBE level.

Unit cell a=6.1511 b=7.5016 c=8.5882 alpha=107.59 beta=90.00 gamma=114.20
Closest atoms and distances in Å follow each position.
Positions (direct):
Sm (0.8554, 0.7108, 0.1411)  1 C 2.64
Sm (0.8577, 0.7155, 0.7110)  1 C 2.60
Sm (0.5000, 0.0000, 0.0000)  2 C 3.08, 4 Te 3.10
Sm (0.1423, 0.2845, 0.2890)  1 C 2.60
Sm (0.1446, 0.2892, 0.8589)  1 C 2.64
Te (0.6795, 0.3590, 0.3343)  5 Sm 3.10-3.35
Te (0.6591, 0.3182, 0.8144)  5 Sm 3.10-3.18
Te (0.0000, 0.0000, 0.5000)  4 Sm 3.06-3.07
Te (0.3409, 0.6818, 0.1856)  5 Sm 3.10-3.18
Te (0.3205, 0.6410, 0.6657)  5 Sm 3.10-3.35
C (0.0000, 0.0000, 0.0000)  4 Sm 2.60-2.64

## Properties
DOS at the Fermi energy, states/eV/f.u.: 3.6
Formation energy from raw total energies, kJ per mole of atoms: -111

***

| no. | final energy (eV/atom) |
| --- | --- |
| 1 | -9.053 |
| 2 | -8.521 |
| 3 | -7.948 |
| 4 | -8.963 |
| 5 | -7.771 |
| 6 | -8.167 |
| 7 | -8.922 |
| 8 | -7.747 |
| 9 | -8.373 |
| 10 | -9.365 |
| 11 | -5.683 |
| 12 | -5.565 |